A plane-wave DFT calculation with PBE was carried out for crystalline Tb2Pr7Nd3 at its relaxed geometry.

Cell lengths 6.5828, 3.6161, 17.9923 Å; angles 90.00, 96.03, 90.00 degrees
Element x y z (fractional)
Tb 0.0566 0.0000 0.1697
Tb 0.9434 0.0000 0.8303
Pr 0.0000 0.5000 0.5000
Pr 0.2234 0.0000 0.6703
Pr 0.2558 0.0000 0.9953
Pr 0.2725 0.5000 0.3314
Pr 0.7275 0.5000 0.6686
Pr 0.7442 0.0000 0.0047
Pr 0.7766 0.0000 0.3297
Nd 0.4545 0.5000 0.8387
Nd 0.5000 0.0000 0.5000
Nd 0.5455 0.5000 0.1613

Computed properties:
Magnetization, Bohr magnetons per cell: 0.00
Crystal system: monoclinic
V, Å³/atom: 35.5
DOS at the Fermi energy, states/eV/f.u.: 18.3
ΔH_f (0 K), kJ per mole of atoms: 7

A plane-wave DFT calculation with PBE was carried out for crystalline La4GaBr3 at its relaxed geometry.

Cell lengths 6.1583, 6.1583, 6.1583 Å; angles 90.00, 90.00, 90.00 degrees
Element x y z (fractional)
La 0.0000 0.0000 0.0000
La 0.0000 0.5000 0.5000
La 0.5000 0.0000 0.5000
La 0.5000 0.5000 0.0000
Ga 0.5000 0.5000 0.5000
Br 0.0000 0.0000 0.5000
Br 0.0000 0.5000 0.0000
Br 0.5000 0.0000 0.0000

Computed properties:
Magnetization, Bohr magnetons per cell: 0.00
Crystal system: cubic
V, Å³/atom: 29.2
Energy relative to the elements, uncorrected, kJ/mol of atoms: -112.2
DOS at the Fermi energy, states/eV/f.u.: 6.1

A plane-wave DFT calculation with PBE was carried out for crystalline AlAsN2 at its relaxed geometry.

Cell lengths 3.8866, 3.8866, 3.8866 Å; angles 60.00, 60.00, 60.00 degrees
Element x y z (fractional)
Al 0.0000 0.0000 0.0000
As 0.5000 0.5000 0.5000
N 0.2500 0.2500 0.2500
N 0.7500 0.7500 0.7500

Computed properties:
Magnetization, Bohr magnetons per cell: 0.00
Crystal system: cubic
V, Å³/atom: 10.4
Energy relative to the elements, uncorrected, kJ/mol of atoms: 100.4
DOS at the Fermi energy, states/eV/f.u.: 1.0

A plane-wave DFT calculation with PBE was carried out for crystalline NpNbPd at its relaxed geometry.

Cell lengths 7.1715, 7.1715, 7.1715 Å; angles 157.06, 157.06, 32.67 degrees
Element x y z (fractional)
Np 0.0000 0.0000 0.0000
Nb 0.3188 0.3188 0.0000
Pd 0.6719 0.6719 0.0000

Computed properties:
Magnetization, Bohr magnetons per cell: 3.27
Crystal system: tetragonal
V, Å³/atom: 18.7
DOS at the Fermi energy, states/eV/f.u.: 5.1
ΔH_f (0 K), kJ per mole of atoms: 3